(1)
Here is crystalline Pm5Er2TmTh at its relaxed geometry from Alexandria via LeMat-Bulk. Energies are from PBE.

Cell lengths 5.3797, 11.0860, 10.5554 Å; angles 90.00, 90.00, 104.04 degrees
Fractional positions:
1 Pm 0.7214 0.4428 0.8145
2 Pm 0.5000 0.0000 0.2581
3 Pm 0.9987 0.9973 0.0082
4 Pm 0.0013 0.0027 0.5082
5 Pm 0.5000 0.0000 0.7581
6 Pm 0.3749 0.7499 0.0082
7 Pm 0.6251 0.2501 0.5082
8 Pm 0.2786 0.5572 0.3145
9 Pm 0.7215 0.4429 0.2020
10 Pm 0.2785 0.5571 0.7020
11 Er 0.1129 0.2258 0.2568
12 Er 0.1129 0.2258 0.7596
13 Er 0.8871 0.7742 0.2596
14 Er 0.8871 0.7742 0.7568
15 Th 0.7877 0.5753 0.5083
16 Th 0.2123 0.4247 0.0083
17 Tm 0.6018 0.2036 0.0082
18 Tm 0.3982 0.7964 0.5082

Space-group type: Cmcm, No. 63

(2)
Here is crystalline PmErTmTh2 at its relaxed geometry from Alexandria via LeMat-Bulk. Energies are from PBE.

Cell lengths 6.6475, 6.6469, 8.4842 Å; angles 113.06, 90.00, 90.00 degrees
Fractional positions:
1 Th 0.5000 0.7470 0.0000
2 Th 0.0000 0.2530 0.0000
3 Th 0.0000 0.7470 0.0000
4 Th 0.5000 0.2530 0.0000
5 Pm 0.2500 0.8474 0.6948
6 Pm 0.7500 0.1526 0.3052
7 Tm 0.7500 0.3483 0.6967
8 Tm 0.2500 0.6517 0.3033
9 Er 0.2500 0.2594 0.5189
10 Er 0.7500 0.7406 0.4811

Space-group type: Cmcm, No. 63

(3)
Here is crystalline Pm2Er4TmTh at its relaxed geometry from Alexandria via LeMat-Bulk. Energies are from PBE.

Cell lengths 5.8312, 5.8410, 9.4877 Å; angles 52.00, 90.00, 90.00 degrees
Fractional positions:
1 Er 0.5000 0.7489 0.2512
2 Er 0.0000 0.7517 0.7483
3 Er 0.5000 0.2512 0.7488
4 Er 0.0000 0.2483 0.2517
5 Th 0.5000 0.5000 0.0000
6 Pm 0.5000 0.0000 0.5000
7 Pm 0.0000 0.0000 0.0000
8 Tm 0.0000 0.5000 0.5000

Space-group type: P4/mmm, No. 123

no.,formation enthalpy at 0 K (eV/atom)
1,0.143
2,0.431
3,0.119